(1)
Below is a geometry-optimized HoZn4Cu8 structure, with properties calculated at the PBE-GGA level.

- final energy (eV/cell) = -88.18
- energy relative to the elements (eV/atom) = -0.1268

abc: 8.604 8.604 4.929
angles: 90.00 90.00 90.00
Space group I4/mmm (No. 139)
Asymmetric unit:
Ho: 0.000 0.000 0.000
Zn: 0.250 0.250 0.250
Cu: 0.000 0.218 0.500
Cu: 0.000 0.355 0.000

=====

(2)
Below is a geometry-optimized BaCaY structure, with properties calculated at the PBE-GGA level.

- final energy (eV/cell) = -33.07
- energy relative to the elements (eV/atom) = 0.7067

abc: 8.564 8.564 8.564
angles: 90.00 90.00 90.00
Space group F-43m (No. 216)
Asymmetric unit:
Ba: 0.000 0.000 0.000
Ca: 0.250 0.250 0.250
Y: 0.000 0.000 0.500

=====

(3)
Below is a geometry-optimized GdDy2N structure, with properties calculated at the PBE-GGA level.

- final energy (eV/cell) = -103.09
- E_form (uncorrected) (eV per atom) = -0.6880

abc: 3.4542 3.4542 28.3340
angles: 90.00 90.00 120.00
Space group R-3m (No. 166, hexagonal axes)
Asymmetric unit:
Gd: 0.0000 0.0000 0.0000
Dy: 0.0000 0.0000 0.1196
N: 0.0000 0.0000 0.5000

=====

(4)
Below is a geometry-optimized NaGeAs2Br structure, with properties calculated at the PBE-GGA level.

- final energy (eV/cell) = -11.98
- E_form (uncorrected) (eV per atom) = 0.9851

abc: 5.012 5.012 5.639
angles: 90.00 90.00 90.00
Space group P4/mmm (No. 123)
Asymmetric unit:
Na: 0.000 0.000 0.000
Ge: 0.000 0.000 0.500
As: 0.000 0.500 0.000
Br: 0.500 0.500 0.500

=====

(5)
Below is a geometry-optimized Li2Ac3HfO9 structure, with properties calculated at the PBE-GGA level.

- final energy (eV/cell) = -109.76
- E_form (uncorrected) (eV per atom) = -2.6021

abc: 5.6830 5.6830 7.0342
angles: 90.00 90.00 120.00
Space group P-3m1 (No. 164)
Asymmetric unit:
Li: 0.3333 0.6667 0.1834
Ac: 0.0000 0.0000 0.0000
Ac: 0.3333 0.6667 0.7040
Hf: 0.0000 0.0000 0.5000
O: 0.0000 0.5000 0.0000
O: 0.1650 0.3300 0.3249

=====

(6)
Below is a geometry-optimized CdSnF2 structure, with properties calculated at the PBE-GGA level.

- final energy (eV/cell) = -54.73
- E_form (uncorrected) (eV per atom) = -1.2553

abc: 6.536 6.536 6.536
angles: 90.00 90.00 90.00
Space group Fm-3m (No. 225)
Asymmetric unit:
Cd: 0.000 0.000 0.000
Sn: 0.000 0.000 0.500
F: 0.250 0.250 0.250

=====

Fermi-level density of states? In order: 0.374, 2.320, 1.296, 0.943, 0.558, 0.047 states/eV/atom.
V? In order: 365, 628, 293, 142, 197, 279 Å³/cell.
Size of the total moment? In order: 0.000, 0.937, 7.674, 0.981, 3.063, 0.000 μB/f.u..